## PrNd2HoEr5 (PBE)

Data for a relaxed PrNd2HoEr5 crystal.

Lattice parameters (Å, degrees): 8.726 8.726 9.865 116.25 116.25 90.00
Fractional coordinates of all 18 atoms:
Pr 0.250 0.250 0.500
Pr 0.750 0.750 0.500
Nd 0.117 0.383 0.000
Nd 0.617 0.117 0.000
Nd 0.383 0.883 0.000
Nd 0.883 0.617 0.000
Ho 0.250 0.750 0.500
Ho 0.750 0.250 0.500
Er 0.927 0.427 0.275
Er 0.652 0.152 0.725
Er 0.073 0.573 0.725
Er 0.152 0.073 0.725
Er 0.573 0.652 0.725
Er 0.848 0.927 0.275
Er 0.427 0.348 0.275
Er 0.348 0.848 0.275
Er 0.500 0.500 0.000
Er 0.000 0.000 0.000

## MgUFe2 (PBE)

Data for a relaxed MgUFe2 crystal.

Lattice parameters (Å, degrees): 3.270 4.293 4.293 90.00 90.00 90.00
Fractional coordinates of all 4 atoms:
Mg 0.500 0.500 0.500
U 0.500 0.000 0.000
Fe 0.000 0.000 0.500
Fe 0.000 0.500 0.000

## In3ReRu (PBE)

Data for a relaxed In3ReRu crystal.

Lattice parameters (Å, degrees): 5.078 5.078 5.078 90.00 90.00 90.00
Fractional coordinates of all 5 atoms:
Re 0.500 0.500 0.500
Ru 0.000 0.000 0.000
In 0.000 0.500 0.000
In 0.000 0.000 0.500
In 0.500 0.000 0.000

Values from the calculation:
Offset from the most stable computed form = 0.0 meV per atom

no.,DOS(E_F) (states/eV/f.u.),E (eV/cell)
1,9.94,-78.675
2,2.86,-29.408
3,2.90,-23.809